DFT (PBE-GGA) results for a geometry-optimized CoAg structure.

Lattice parameters (Å, degrees): 4.824 4.824 4.824 32.61 32.61 32.61
Positions (direct):
Ag 0.000 0.000 0.000
Co 0.500 0.500 0.500

Summary:
* space-group type: R-3m
* ΔH_f (0 K): 86 kJ/mol of formula units
* total magnetic moment: 1.706 μB per formula unit
* volume: 29.0 Å³/f.u.